# 1
! TlZn4As3 | Alexandria via LeMat-Bulk | PBE | optimized geometry; values from VASP
&SYSTEM
  ibrav = 0, nat = 8, ntyp = 3
/
ATOMIC_SPECIES
As 74.92 As.upf
Tl 204.38 Tl.upf
Zn 65.41 Zn.upf
CELL_PARAMETERS angstrom
4.134 0.000 0.754
1.998 3.619 0.754
-0.049 -0.029 11.970
ATOMIC_POSITIONS crystal
As 0.232 0.232 0.303
Tl 0.500 0.500 0.500
Zn 0.303 0.303 0.091
As 0.000 0.000 0.000
As 0.768 0.768 0.697
Zn 0.915 0.915 0.255
Zn 0.697 0.697 0.909
Zn 0.085 0.085 0.745
! Symmetry   R-3m (166)
! Crystal system   trigonal
! E_tot   -22.37 eV per cell

# 2
! TlZnAs2 | Alexandria via LeMat-Bulk | PBE | optimized geometry; values from VASP
&SYSTEM
  ibrav = 0, nat = 4, ntyp = 3
/
ATOMIC_SPECIES
Zn 65.41 Zn.upf
As 74.92 As.upf
Tl 204.38 Tl.upf
CELL_PARAMETERS angstrom
-3.517 0.071 -0.138
0.114 -0.934 -3.393
-0.223 -7.195 1.972
ATOMIC_POSITIONS crystal
Zn 0.500 0.500 0.791
As 0.500 0.500 0.161
As 0.000 0.000 0.017
Tl 0.000 0.000 0.530
! Symmetry   P4mm (99)
! Crystal system   tetragonal
! E_tot   -12.30 eV per cell
! ΔE to the lowest computed polymorph   105 meV per atom

# 3
! TlZnAs2 | Alexandria via LeMat-Bulk | PBE | optimized geometry; values from VASP
&SYSTEM
  ibrav = 0, nat = 4, ntyp = 3
/
ATOMIC_SPECIES
Zn 65.41 Zn.upf
Tl 204.38 Tl.upf
As 74.92 As.upf
CELL_PARAMETERS angstrom
3.285 -0.005 0.000
-1.246 3.040 0.000
0.000 0.000 9.031
ATOMIC_POSITIONS crystal
Zn 0.500 0.500 0.781
Tl 0.000 0.000 0.507
As 0.000 0.000 0.003
As 0.500 0.500 0.209
! Symmetry   Cmm2 (35)
! Crystal system   orthorhombic
! E_tot   -11.72 eV per cell
! ΔE to the lowest computed polymorph   251 meV per atom

# 4
! TlZnAs2 | Alexandria via LeMat-Bulk | PBE | optimized geometry; values from VASP
&SYSTEM
  ibrav = 0, nat = 4, ntyp = 3
/
ATOMIC_SPECIES
As 74.92 As.upf
Tl 204.38 Tl.upf
Zn 65.41 Zn.upf
CELL_PARAMETERS angstrom
5.791 0.000 0.000
0.000 3.947 0.000
0.000 0.000 3.947
ATOMIC_POSITIONS crystal
As 0.000 0.500 0.500
Tl 0.500 0.500 0.000
Zn 0.500 0.000 0.500
As 0.000 0.000 0.000
! Symmetry   P4/mmm (123)
! Crystal system   tetragonal
! E_tot   -11.66 eV per cell
! ΔE to the lowest computed polymorph   266 meV per atom